Entry 1:
meta-GGA SCAN LaAlAs2, PBEsol geometry; SG = I4/mmm; total DFT energy (no corrections) = -23.35 eV/atom; total magnetization = 0.00 μB per formula unit; energy of formation from the pure elements = -52 kJ per mole of atoms; crystal system = tetragonal
1.0
4.506 0.000 0.000
0.000 4.506 0.000
-2.253 -2.253 4.223
As Al La
2 1 1
Direct
0.750 0.250 0.500
0.250 0.750 0.500
0.500 0.500 0.000
0.000 0.000 0.000

---

Entry 2:
meta-GGA SCAN Cs3ZnBr5, PBEsol geometry; SG = I4/mcm; total DFT energy (no corrections) = -26.63 eV/atom; total magnetization = 0.00 μB per formula unit; crystal system = tetragonal; energy relative to the elements, uncorrected = -165.6 kJ per mole of atoms
1.0
-3.487 2.900 -8.362
-0.403 -9.820 2.173
-8.448 -3.770 2.216
Cs Zn Br
6 2 10
Direct
0.160 0.000 0.340
0.840 0.000 0.660
0.660 0.000 0.160
0.340 0.000 0.840
0.750 0.500 0.250
0.250 0.500 0.750
0.750 0.500 0.750
0.250 0.500 0.250
0.000 0.000 0.000
0.500 0.000 0.500
0.201 0.689 0.299
0.488 0.689 0.012
0.701 0.689 0.512
0.988 0.689 0.799
0.799 0.311 0.701
0.512 0.311 0.988
0.299 0.311 0.488
0.012 0.311 0.201

---

Entry 3:
meta-GGA SCAN BeNi3Sn, PBEsol geometry; SG = Pm-3m; total DFT energy (no corrections) = -16.30 eV/atom; total magnetization = 0.00 μB per formula unit; energy of formation from the pure elements = 141 kJ per mole of atoms; crystal system = cubic
1.0
-1.096 -4.381 0.351
4.294 -0.990 1.050
-0.939 0.587 4.393
Ni Sn Be
3 1 1
Direct
0.000 0.500 0.000
0.000 0.000 0.500
0.500 0.000 0.000
0.000 0.000 0.000
0.500 0.500 0.500

---

Entry 4:
meta-GGA SCAN Ca2CrCu, PBEsol geometry; SG = P4/mmm; total DFT energy (no corrections) = -13.01 eV/atom; total magnetization = 5.03 μB per formula unit; energy of formation from the pure elements = 21 kJ per mole of atoms; relative energy among the computed polymorphs = 0.000 eV per formula unit; crystal system = tetragonal
1.0
-1.383 0.489 -3.260
-1.483 -3.249 0.141
-6.049 2.890 3.000
Ca Cr Cu
2 1 1
Direct
0.000 0.000 0.731
0.000 0.000 0.269
0.500 0.500 0.000
0.500 0.500 0.500

---

Entry 5:
meta-GGA SCAN Mg3MoPt, PBEsol geometry; SG = Pm-3m; total DFT energy (no corrections) = -23.67 eV/atom; total magnetization = 4.70 μB per formula unit; energy of formation from the pure elements = 32 kJ per mole of atoms; relative energy among the computed polymorphs = 0.000 eV per formula unit; crystal system = cubic
1.0
4.884 0.000 0.000
0.000 4.884 0.000
0.000 0.000 4.884
Mo Mg Pt
1 3 1
Direct
0.500 0.500 0.500
0.000 0.500 0.000
0.000 0.000 0.500
0.500 0.000 0.000
0.000 0.000 0.000

---

Entry 6:
meta-GGA SCAN ZnCd2Os, PBEsol geometry; SG = C2/m; total DFT energy (no corrections) = -36.09 eV/atom; total magnetization = 0.00 μB per formula unit; energy of formation from the pure elements = 45 kJ per mole of atoms; crystal system = monoclinic
1.0
2.741 -0.001 0.000
-1.002 5.228 0.000
-0.870 -2.614 4.602
Cd Os Zn
2 1 1
Direct
0.000 0.000 0.500
0.500 0.500 0.500
0.000 0.500 0.000
0.500 0.000 0.000

---

Entry 7:
meta-GGA SCAN Mg2SiOs2, PBEsol geometry; SG = P4/mbm; total DFT energy (no corrections) = -32.97 eV/atom; total magnetization = 0.00 μB per formula unit; crystal system = tetragonal; energy relative to the elements, uncorrected = -21.4 kJ per mole of atoms
1.0
-1.922 -3.608 1.525
2.458 -3.243 -4.573
4.915 -1.156 3.461
Si Os Mg
2 4 4
Direct
0.000 0.000 0.000
0.000 0.500 0.500
0.000 0.358 0.858
0.000 0.858 0.642
0.000 0.642 0.142
0.000 0.142 0.358
0.500 0.166 0.666
0.500 0.666 0.834
0.500 0.834 0.334
0.500 0.334 0.166

---

Entry 8:
meta-GGA SCAN TlCd3, PBEsol geometry; SG = P4/mmm; total DFT energy (no corrections) = -40.85 eV/atom; total magnetization = 0.00 μB per formula unit; energy of formation from the pure elements = 5 kJ per mole of atoms; crystal system = tetragonal
1.0
-0.938 2.616 1.617
-2.802 -1.424 0.678
3.479 -3.324 7.395
Tl Cd
1 3
Direct
0.000 0.000 0.000
0.500 0.500 0.728
0.000 0.000 0.500
0.500 0.500 0.272